(1)
A plane-wave DFT calculation with GGA-PBE was carried out for Nd8CuPb2 after structural relaxation.

## Properties
The energy of formation from the pure elements is -2.39 eV per formula unit. The space-group type is C2/m (12). The crystal system is monoclinic. The total energy is -0.3478 Ry per atom.

Cell: 10.267 10.267 6.969 Å, 104.69 104.69 29.30°
Atoms (fractional coordinates):
Nd: 0.013 0.013 0.282
Nd: 0.214 0.214 0.820
Nd: 0.352 0.352 0.500
Nd: 0.410 0.410 0.028
Nd: 0.590 0.590 0.972
Nd: 0.648 0.648 0.500
Nd: 0.786 0.786 0.180
Nd: 0.987 0.987 0.718
Cu: 0.500 0.500 0.500
Pb: 0.180 0.180 0.257
Pb: 0.820 0.820 0.743

(2)
A plane-wave DFT calculation with GGA-PBE was carried out for SrTa2ZnC after structural relaxation.

## Properties
The energy of formation from the pure elements is 16.30 eV per formula unit. The space-group type is P4/mmm (123). The crystal system is tetragonal. The total energy is -0.2878 Ry per atom.

Cell: 5.120 5.120 4.266 Å, 90.00 90.00 90.00°
Atoms (fractional coordinates):
Sr: 0.000 0.000 0.000
Ta: 0.000 0.500 0.000
Ta: 0.500 0.000 0.000
Zn: 0.500 0.500 0.500
C: 0.000 0.000 0.500

(3)
A plane-wave DFT calculation with GGA-PBE was carried out for Tb8Pr6Nd after structural relaxation.

## Properties
The energy of formation from the pure elements is 1.80 eV per formula unit. The space-group type is R-3 (148). The crystal system is trigonal. The total energy is -0.3366 Ry per atom.

Cell: 8.807 8.807 8.807 Å, 62.98 62.98 62.98°
Atoms (fractional coordinates):
Tb: 0.077 0.077 0.077
Tb: 0.216 0.613 0.249
Tb: 0.249 0.216 0.613
Tb: 0.387 0.751 0.784
Tb: 0.613 0.249 0.216
Tb: 0.751 0.784 0.387
Tb: 0.784 0.387 0.751
Tb: 0.923 0.923 0.923
Pr: 0.037 0.602 0.731
Pr: 0.269 0.963 0.398
Pr: 0.398 0.269 0.963
Pr: 0.602 0.731 0.037
Pr: 0.731 0.037 0.602
Pr: 0.963 0.398 0.269
Nd: 0.500 0.500 0.500

Repeat the third record exactly.
A plane-wave DFT calculation with GGA-PBE was carried out for Tb8Pr6Nd after structural relaxation.

## Properties
The energy of formation from the pure elements is 1.80 eV per formula unit. The space-group type is R-3 (148). The crystal system is trigonal. The total energy is -0.3366 Ry per atom.

Cell: 8.807 8.807 8.807 Å, 62.98 62.98 62.98°
Atoms (fractional coordinates):
Tb: 0.077 0.077 0.077
Tb: 0.216 0.613 0.249
Tb: 0.249 0.216 0.613
Tb: 0.387 0.751 0.784
Tb: 0.613 0.249 0.216
Tb: 0.751 0.784 0.387
Tb: 0.784 0.387 0.751
Tb: 0.923 0.923 0.923
Pr: 0.037 0.602 0.731
Pr: 0.269 0.963 0.398
Pr: 0.398 0.269 0.963
Pr: 0.602 0.731 0.037
Pr: 0.731 0.037 0.602
Pr: 0.963 0.398 0.269
Nd: 0.500 0.500 0.500

Please write out number 2 again, unchanged.
A plane-wave DFT calculation with GGA-PBE was carried out for SrTa2ZnC after structural relaxation.

## Properties
The energy of formation from the pure elements is 16.30 eV per formula unit. The space-group type is P4/mmm (123). The crystal system is tetragonal. The total energy is -0.2878 Ry per atom.

Cell: 5.120 5.120 4.266 Å, 90.00 90.00 90.00°
Atoms (fractional coordinates):
Sr: 0.000 0.000 0.000
Ta: 0.000 0.500 0.000
Ta: 0.500 0.000 0.000
Zn: 0.500 0.500 0.500
C: 0.000 0.000 0.500

Question: Which value of energy of formation from the pure elements does entry 1 give?
Answer: -2.39 eV per formula unit

Question: Which of these has the lowest energy of formation from the pure elements?
Answer: Nd8CuPb2